# PBE TeAs2Ir, relaxed
data_TeAs2Ir
_chemical_formula_sum 'Te1 As2 Ir1'
_symmetry_space_group_name_H-M 'P 1'
_symmetry_Int_Tables_number 1
_cell_length_a 4.056
_cell_length_b 4.056
_cell_length_c 6.738
_cell_angle_alpha 79.84
_cell_angle_beta 79.84
_cell_angle_gamma 54.52
loop_
_symmetry_equiv_pos_as_xyz
'x,y,z'
loop_
_atom_site_label
_atom_site_type_symbol
_atom_site_fract_x
_atom_site_fract_y
_atom_site_fract_z
Te1 Te 0.262 0.262 0.285
As1 As 0.933 0.933 0.995
As2 As 0.799 0.799 0.686
Ir1 Ir 0.506 0.506 0.534
# Formation energy without anion corrections (kJ/mol of formula units): 32


# PBE ScCrCu2, relaxed
data_ScCrCu2
_chemical_formula_sum 'Sc1 Cr1 Cu2'
_symmetry_space_group_name_H-M 'P 1'
_symmetry_Int_Tables_number 1
_cell_length_a 4.426
_cell_length_b 4.426
_cell_length_c 4.426
_cell_angle_alpha 60.00
_cell_angle_beta 60.00
_cell_angle_gamma 60.00
loop_
_symmetry_equiv_pos_as_xyz
'x,y,z'
loop_
_atom_site_label
_atom_site_type_symbol
_atom_site_fract_x
_atom_site_fract_y
_atom_site_fract_z
Cu1 Cu 0.250 0.250 0.250
Cu2 Cu 0.750 0.750 0.750
Sc1 Sc 0.000 0.000 0.000
Cr1 Cr 0.500 0.500 0.500
# Relative energy among the computed polymorphs (kJ/mol of atoms): 0.0
# Calculated formation energy (eV/atom): 0.04


# PBE RbScPb, relaxed
data_RbScPb
_chemical_formula_sum 'Rb2 Sc2 Pb2'
_symmetry_space_group_name_H-M 'P 1'
_symmetry_Int_Tables_number 1
_cell_length_a 13.985
_cell_length_b 4.554
_cell_length_c 3.558
_cell_angle_alpha 90.00
_cell_angle_beta 91.11
_cell_angle_gamma 90.00
loop_
_symmetry_equiv_pos_as_xyz
'x,y,z'
loop_
_atom_site_label
_atom_site_type_symbol
_atom_site_fract_x
_atom_site_fract_y
_atom_site_fract_z
Pb1 Pb 0.347 0.750 0.738
Pb2 Pb 0.653 0.250 0.262
Sc1 Sc 0.567 0.750 0.755
Sc2 Sc 0.433 0.250 0.245
Rb1 Rb 0.159 0.250 0.223
Rb2 Rb 0.841 0.750 0.777
# Relative energy among the computed polymorphs (kJ/mol of atoms): 2.6
# Calculated formation energy (eV/atom): -0.21


# PBE Hf4CuRh, relaxed
data_Hf4CuRh
_chemical_formula_sum 'Hf4 Cu1 Rh1'
_symmetry_space_group_name_H-M 'P 1'
_symmetry_Int_Tables_number 1
_cell_length_a 3.230
_cell_length_b 3.230
_cell_length_c 10.890
_cell_angle_alpha 90.00
_cell_angle_beta 90.00
_cell_angle_gamma 90.00
loop_
_symmetry_equiv_pos_as_xyz
'x,y,z'
loop_
_atom_site_label
_atom_site_type_symbol
_atom_site_fract_x
_atom_site_fract_y
_atom_site_fract_z
Hf1 Hf 0.000 0.000 0.347
Hf2 Hf 0.500 0.500 0.841
Hf3 Hf 0.000 0.000 0.653
Hf4 Hf 0.500 0.500 0.159
Rh1 Rh 0.500 0.500 0.500
Cu1 Cu 0.000 0.000 0.000
# Relative energy among the computed polymorphs (kJ/mol of atoms): 0.0
# Calculated formation energy (eV/atom): -0.39